No. 1
Density functional theory data (PBE-GGA) for crystalline NaLi4Ge2 at its relaxed geometry.

Unit cell a=4.7426 b=4.7426 c=7.4671 alpha=71.48 beta=71.48 gamma=90.00
With the nearest neighbours (Å) after each atom.
Sites, in units of the cell vectors:
Na: 0.0000 0.0000 0.0000  4 Li 2.37
Ge: 0.4046 0.4046 0.1908  1 Ge 2.55, 5 Li 2.55-2.69
Ge: 0.5954 0.5954 0.8092  1 Ge 2.55, 5 Li 2.55-2.69
Li: 0.2132 0.2132 0.5735  1 Ge 2.55, 1 Na 2.85
Li: 0.7868 0.7868 0.4265  1 Ge 2.55, 1 Na 2.85
Li: 0.0000 0.5000 0.0000  2 Na 2.37
Li: 0.5000 0.0000 0.0000  2 Na 2.37

Magnetic moment in μB per atom: 0.000
Fermi-level density of states in states/eV/atom: 0.23
Calculated total energy in eV per atom: -2.531
Crystal system: tetragonal
E_form in eV/atom: 0.0699

=====

No. 2
Density functional theory data (PBE-GGA) for crystalline NaLi3Ge at its relaxed geometry.

Unit cell a=7.6374 b=7.5750 c=7.5750 alpha=85.04 beta=83.11 gamma=83.11
With the nearest neighbours (Å) after each atom.
Sites, in units of the cell vectors:
Na: 0.2500 0.0034 0.9966  4 Li 2.93-3.13
Na: 0.7500 0.9966 0.0034  4 Li 2.93-3.13
Na: 0.2500 0.3267 0.6733  4 Li 2.93-3.24, 2 Ge 3.00
Na: 0.7500 0.6733 0.3267  4 Li 2.93-3.24, 2 Ge 3.00
Li: 0.5620 0.6649 0.9433  2 Ge 2.57-2.59, 1 Li 2.81
Li: 0.9380 0.0567 0.3351  2 Ge 2.57-2.59, 1 Li 2.81
Li: 0.4380 0.3351 0.0567  2 Ge 2.57-2.59, 1 Li 2.81
Li: 0.0620 0.9433 0.6649  2 Ge 2.57-2.59, 1 Li 2.81
Li: 0.8756 0.3496 0.9624  2 Ge 2.72-2.88, 1 Li 2.81, 1 Na 2.93
Li: 0.6244 0.0376 0.6504  2 Ge 2.72-2.88, 1 Li 2.81, 1 Na 2.93
Li: 0.1244 0.6504 0.0376  2 Ge 2.72-2.88, 1 Li 2.81, 1 Na 2.93
Li: 0.3756 0.9624 0.3496  2 Ge 2.72-2.88, 1 Li 2.81, 1 Na 2.93
Li: 0.3934 0.6716 0.6065  3 Ge 2.71-2.79, 2 Li 2.81-2.99, 1 Na 2.93
Li: 0.1066 0.3935 0.3284  3 Ge 2.71-2.79, 2 Li 2.81-2.99, 1 Na 2.93
Li: 0.6066 0.3284 0.3935  3 Ge 2.71-2.79, 2 Li 2.81-2.99, 1 Na 2.93
Li: 0.8934 0.6065 0.6716  3 Ge 2.71-2.79, 2 Li 2.81-2.99, 1 Na 2.93
Ge: 0.6110 0.3994 0.7466  1 Ge 2.46, 4 Li 2.57-2.72
Ge: 0.8890 0.2534 0.6006  1 Ge 2.46, 4 Li 2.57-2.72
Ge: 0.3890 0.6006 0.2534  1 Ge 2.46, 4 Li 2.57-2.72
Ge: 0.1110 0.7466 0.3994  1 Ge 2.46, 4 Li 2.57-2.72

Magnetic moment in μB per atom: 0.000
Relative energy among the computed polymorphs in meV/atom: 0
Fermi-level density of states in states/eV/atom: 0.41
Calculated total energy in eV per atom: -2.468
Crystal system: monoclinic
E_form in eV/atom: -0.1324

=====

No. 3
Density functional theory data (PBE-GGA) for crystalline NaLi3Ge at its relaxed geometry.

Unit cell a=4.9344 b=4.9344 c=4.9344 alpha=90.00 beta=90.00 gamma=90.00
With the nearest neighbours (Å) after each atom.
Sites, in units of the cell vectors:
Na: 0.5000 0.5000 0.5000  12 Li 3.49
Ge: 0.0000 0.0000 0.0000  6 Li 2.47
Li: 0.0000 0.5000 0.0000  2 Ge 2.47
Li: 0.0000 0.0000 0.5000  2 Ge 2.47
Li: 0.5000 0.0000 0.0000  2 Ge 2.47

Magnetic moment in μB per atom: 0.000
Relative energy among the computed polymorphs in meV/atom: 28
Fermi-level density of states in states/eV/atom: 0.11
Calculated total energy in eV per atom: -2.440
Crystal system: cubic
E_form in eV/atom: -0.1046

=====

No. 4
Density functional theory data (PBE-GGA) for crystalline Na3LiGe at its relaxed geometry.

Unit cell a=5.6377 b=5.6377 c=5.6377 alpha=90.00 beta=90.00 gamma=90.00
With the nearest neighbours (Å) after each atom.
Sites, in units of the cell vectors:
Na: 0.0000 0.5000 0.0000  2 Ge 2.82
Na: 0.0000 0.0000 0.5000  2 Ge 2.82
Na: 0.5000 0.0000 0.0000  2 Ge 2.82
Ge: 0.0000 0.0000 0.0000  6 Na 2.82
Li: 0.5000 0.5000 0.5000  12 Na 3.99

Magnetic moment in μB per atom: 0.000
Relative energy among the computed polymorphs in meV/atom: 0
Fermi-level density of states in states/eV/atom: 0.47
Calculated total energy in eV per atom: -1.904
Crystal system: cubic
E_form in eV/atom: 0.1938

=====

No. 5
Density functional theory data (PBE-GGA) for crystalline NaLiNb2Ge at its relaxed geometry.

Unit cell a=4.9299 b=5.3800 c=4.9299 alpha=90.00 beta=90.00 gamma=90.00
With the nearest neighbours (Å) after each atom.
Sites, in units of the cell vectors:
Na: 0.0000 0.5000 0.0000  2 Ge 2.69
Nb: 0.0000 0.0000 0.5000  2 Ge 2.46
Nb: 0.5000 0.0000 0.0000  2 Ge 2.46
Ge: 0.0000 0.0000 0.0000  4 Nb 2.46, 2 Na 2.69
Li: 0.5000 0.5000 0.5000  4 Na 3.49, 8 Nb 3.65

Magnetic moment in μB per atom: 0.601
Fermi-level density of states in states/eV/atom: 1.32
Calculated total energy in eV per atom: -4.643
Crystal system: tetragonal
E_form in eV/atom: 0.9552

=====

No. 6
Density functional theory data (PBE-GGA) for crystalline NaLiNbGe2 at its relaxed geometry.

Unit cell a=5.0260 b=5.3110 c=5.0260 alpha=90.00 beta=90.00 gamma=90.00
With the nearest neighbours (Å) after each atom.
Sites, in units of the cell vectors:
Na: 0.5000 0.5000 0.5000  4 Li 3.55, 8 Ge 3.66
Nb: 0.0000 0.0000 0.0000  4 Ge 2.51, 2 Li 2.66
Ge: 0.0000 0.0000 0.5000  2 Nb 2.51
Ge: 0.5000 0.0000 0.0000  2 Nb 2.51
Li: 0.0000 0.5000 0.0000  2 Nb 2.66

Magnetic moment in μB per atom: 0.216
Fermi-level density of states in states/eV/atom: 0.60
Calculated total energy in eV per atom: -4.159
Crystal system: tetragonal
E_form in eV/atom: 0.3486

=====

No. 7
Density functional theory data (PBE-GGA) for crystalline NaLiNdGe at its relaxed geometry.

Unit cell a=5.0938 b=5.0938 c=5.0938 alpha=60.00 beta=60.00 gamma=60.00
With the nearest neighbours (Å) after each atom.
Sites, in units of the cell vectors:
Na: 0.5000 0.5000 0.5000  4 Ge 3.12, 4 Li 3.12
Ge: 0.2500 0.2500 0.2500  4 Na 3.12, 4 Nd 3.12
Nd: 0.0000 0.0000 0.0000  4 Ge 3.12, 4 Li 3.12
Li: 0.7500 0.7500 0.7500  4 Na 3.12, 4 Nd 3.12

Magnetic moment in μB per atom: 0.000
Fermi-level density of states in states/eV/atom: 0.63
Calculated total energy in eV per atom: -3.404
Crystal system: cubic
E_form in eV/atom: -0.2498

=====

No. 8
Density functional theory data (PBE-GGA) for crystalline NaLi2NiGe at its relaxed geometry.

Unit cell a=4.7450 b=4.7450 c=4.4293 alpha=90.00 beta=90.00 gamma=90.00
With the nearest neighbours (Å) after each atom.
Sites, in units of the cell vectors:
Ni: 0.0000 0.0000 0.0000  2 Ge 2.21, 4 Li 2.37
Ge: 0.0000 0.0000 0.5000  2 Ni 2.21
Li: 0.0000 0.5000 0.0000  2 Ni 2.37
Li: 0.5000 0.0000 0.0000  2 Ni 2.37
Na: 0.5000 0.5000 0.5000  8 Li 3.25, 4 Ge 3.36

Magnetic moment in μB per atom: 0.000
Fermi-level density of states in states/eV/atom: 0.29
Calculated total energy in eV per atom: -3.215
Crystal system: tetragonal
E_form in eV/atom: -0.1064

=====

No. 9
Density functional theory data (PBE-GGA) for crystalline NaLi2GeO4 at its relaxed geometry.

Unit cell a=5.0822 b=5.1614 c=5.1614 alpha=58.99 beta=60.50 gamma=60.50
With the nearest neighbours (Å) after each atom.
Sites, in units of the cell vectors:
Na: 0.0000 0.0000 0.0000  4 O 2.37
Li: 0.2500 0.2500 0.2500  4 O 2.01
Li: 0.7500 0.7500 0.7500  4 O 2.01
Ge: 0.5000 0.5000 0.5000  4 O 1.78
O: 0.4347 0.1596 0.5653  1 Ge 1.78
O: 0.1596 0.8404 0.4347  1 Ge 1.78
O: 0.8404 0.5653 0.1596  1 Ge 1.78
O: 0.5653 0.4347 0.8404  1 Ge 1.78

Magnetic moment in μB per atom: 0.127
Fermi-level density of states in states/eV/atom: 0.74
Formation energy without anion corrections in eV/atom: -1.6559
Calculated total energy in eV per atom: -5.355
Crystal system: tetragonal

=====

No. 10
Density functional theory data (PBE-GGA) for crystalline NaLiGe2Os at its relaxed geometry.

Unit cell a=4.7376 b=4.7376 c=5.0271 alpha=90.00 beta=90.00 gamma=90.00
With the nearest neighbours (Å) after each atom.
Sites, in units of the cell vectors:
Na: 0.5000 0.5000 0.5000  4 Li 3.35, 8 Ge 3.45
Ge: 0.0000 0.5000 0.0000  2 Os 2.37
Ge: 0.5000 0.0000 0.0000  2 Os 2.37
Os: 0.0000 0.0000 0.0000  4 Ge 2.37, 2 Li 2.51
Li: 0.0000 0.0000 0.5000  2 Os 2.51

Magnetic moment in μB per atom: 0.000
Fermi-level density of states in states/eV/atom: 0.30
Calculated total energy in eV per atom: -4.700
Crystal system: tetragonal
E_form in eV/atom: 0.0396

=====

No. 11
Density functional theory data (PBE-GGA) for crystalline NaLiGePb at its relaxed geometry.

Unit cell a=5.0026 b=5.0026 c=5.0026 alpha=60.00 beta=60.00 gamma=60.00
With the nearest neighbours (Å) after each atom.
Sites, in units of the cell vectors:
Pb: 0.7500 0.7500 0.7500  4 Li 3.06, 4 Na 3.06
Na: 0.0000 0.0000 0.0000  4 Ge 3.06, 4 Pb 3.06
Ge: 0.2500 0.2500 0.2500  4 Na 3.06, 4 Li 3.06
Li: 0.5000 0.5000 0.5000  4 Ge 3.06, 4 Pb 3.06

Magnetic moment in μB per atom: 0.000
Fermi-level density of states in states/eV/atom: 0.53
Calculated total energy in eV per atom: -2.955
Crystal system: cubic
E_form in eV/atom: -0.0655

=====

No. 12
Density functional theory data (PBE-GGA) for crystalline NaLiGePb2 at its relaxed geometry.

Unit cell a=5.6427 b=4.8877 c=5.6427 alpha=90.00 beta=90.00 gamma=90.00
With the nearest neighbours (Å) after each atom.
Sites, in units of the cell vectors:
Pb: 0.0000 0.0000 0.5000  2 Ge 2.82
Pb: 0.5000 0.0000 0.0000  2 Ge 2.82
Na: 0.5000 0.5000 0.5000  8 Pb 3.73, 4 Li 3.99
Ge: 0.0000 0.0000 0.0000  2 Li 2.44
Li: 0.0000 0.5000 0.0000  2 Ge 2.44

Magnetic moment in μB per atom: 0.000
Fermi-level density of states in states/eV/atom: 0.55
Calculated total energy in eV per atom: -2.932
Crystal system: tetragonal
E_form in eV/atom: 0.1210

=====

No. 13
Density functional theory data (PBE-GGA) for crystalline NaLiGePd2 at its relaxed geometry.

Unit cell a=4.7806 b=3.9952 c=4.7806 alpha=90.00 beta=90.00 gamma=90.00
With the nearest neighbours (Å) after each atom.
Sites, in units of the cell vectors:
Na: 0.0000 0.0000 0.0000  2 Li 2.00
Ge: 0.5000 0.5000 0.5000  8 Pd 3.12, 4 Li 3.38
Pd: 0.0000 0.0000 0.5000  2 Na 2.39
Pd: 0.5000 0.0000 0.0000  2 Na 2.39
Li: 0.0000 0.5000 0.0000  2 Na 2.00

Magnetic moment in μB per atom: 0.000
Fermi-level density of states in states/eV/atom: 0.35
Calculated total energy in eV per atom: -3.070
Crystal system: tetragonal
E_form in eV/atom: 0.5771